No. 1
This record from Alexandria via LeMat-Bulk describes crystalline TcTe2Se at its relaxed geometry. The functional is PBEsol.

abc: 7.3408 3.2219 7.8444
angles: 90.00 91.44 90.00
Space group C2/m (No. 12)
Symmetry-distinct sites (fractional):
Tc1 0.0000 0.0000 0.0000
Te1 0.1945 0.5000 0.8060
Se1 0.0000 0.5000 0.5000

Values from the calculation:
Magnetic moment in μB/f.u.: 0.000
Formation energy from raw total energies in meV per atom: 133

***

No. 2
This record from Alexandria via LeMat-Bulk describes crystalline LiSc2Fe at its relaxed geometry. The functional is PBEsol.

abc: 3.0697 3.0697 7.8645
angles: 90.00 90.00 90.00
Space group P4/mmm (No. 123)
Symmetry-distinct sites (fractional):
Li1 0.0000 0.0000 0.0000
Sc1 0.5000 0.5000 0.3119
Fe1 0.0000 0.0000 0.5000

Values from the calculation:
Magnetic moment in μB/f.u.: 0.000
Formation enthalpy at 0 K in kJ/mol of atoms: -8.5

***

No. 3
This record from Alexandria via LeMat-Bulk describes crystalline MgSc2FeS at its relaxed geometry. The functional is PBEsol.

abc: 4.8687 4.8687 4.1086
angles: 90.00 90.00 90.00
Space group P4/mmm (No. 123)
Symmetry-distinct sites (fractional):
Mg1 0.0000 0.0000 0.0000
Sc1 0.0000 0.5000 0.5000
Fe1 0.5000 0.5000 0.5000
S1 0.5000 0.5000 0.0000

Values from the calculation:
Magnetic moment in μB/f.u.: 0.000
Formation energy from raw total energies in meV per atom: -149

***

No. 4
This record from Alexandria via LeMat-Bulk describes crystalline KCo2Tc at its relaxed geometry. The functional is PBEsol.

abc: 2.5422 4.7365 4.9793
angles: 90.00 90.00 90.00
Space group Pmmm (No. 47)
Symmetry-distinct sites (fractional):
K1 0.0000 0.0000 0.0000
Co1 0.0000 0.5000 0.5000
Co2 0.5000 0.5000 0.0000
Tc1 0.5000 0.0000 0.5000

Values from the calculation:
Magnetic moment in μB/f.u.: 4.161
Formation enthalpy at 0 K in kJ/mol of atoms: 149.1

***

No. 5
This record from Alexandria via LeMat-Bulk describes crystalline Be2SbW at its relaxed geometry. The functional is PBEsol.

abc: 3.3200 3.3200 5.1126
angles: 90.00 90.00 90.00
Space group P4mm (No. 99)
Symmetry-distinct sites (fractional):
Be1 0.0000 0.0000 0.0000
Be2 0.5000 0.5000 0.2233
Sb1 0.0000 0.0000 0.4856
W1 0.5000 0.5000 0.7626

Values from the calculation:
Magnetic moment in μB/f.u.: 0.000
Formation energy from raw total energies in meV per atom: 422

***

No. 6
This record from Alexandria via LeMat-Bulk describes crystalline Zr2PbC at its relaxed geometry. The functional is PBEsol.

abc: 3.3705 3.3705 14.7807
angles: 90.00 90.00 120.00
Space group P6_3/mmc (No. 194)
Symmetry-distinct sites (fractional):
Zr1 0.3333 0.6667 0.0825
Pb1 0.3333 0.6667 0.7500
C1 0.0000 0.0000 0.0000

Values from the calculation:
Magnetic moment in μB/f.u.: 0.000
Formation enthalpy at 0 K in kJ/mol of atoms: -73.1

***

What did we get for energy? Answer: -5.409 -6.123 -5.804 -5.423 -6.170 -8.713 eV/atom, in the order shown.
What did we get for calculated volume? Answer: 93 74 97 60 56 73 Å³/f.u., in the order shown.